Record 1
First-principles (GGA-PBE) data for an optimized crystal structure of Tl2NiPt, as listed in Alexandria via LeMat-Bulk.

Values from the calculation:
The calculation puts the formation energy from the elements at 249 meV/atom. Its volume is 74.94 Å³/cell.

Lattice parameters (Å, degrees): 4.646 4.646 3.472 90.00 90.00 90.00
Space group P4/mmm (No. 123)
Symmetry-distinct sites (fractional):
Tl 0.000 0.500 0.000 (multiplicity 2)
Ni 0.000 0.000 0.500 (multiplicity 1)
Pt 0.500 0.500 0.500 (multiplicity 1)

***

Record 2
First-principles (GGA-PBE) data for an optimized crystal structure of TlNiPt2, as listed in Alexandria via LeMat-Bulk.

Values from the calculation:
The calculation puts the formation energy from the elements at 143 meV/atom. Its volume is 132.75 Å³/cell.

Lattice parameters (Å, degrees): 5.505 9.811 2.876 90.00 121.28 90.00
Space group C2/m (No. 12)
Symmetry-distinct sites (fractional):
Tl 0.000 0.000 0.000 (multiplicity 2)
Ni 0.000 0.500 0.000 (multiplicity 2)
Pt 0.250 0.250 0.500 (multiplicity 4)

***

Record 3
First-principles (GGA-PBE) data for an optimized crystal structure of Tl2NiPt, as listed in Alexandria via LeMat-Bulk.

Values from the calculation:
The calculation puts the formation energy from the elements at 119 meV/atom. Its volume is 284.03 Å³/cell.

Lattice parameters (Å, degrees): 4.1768 4.1768 18.7993 90.00 90.00 120.00
Space group R3m (No. 160, hexagonal axes)
Symmetry-distinct sites (fractional):
Tl 0.0000 0.0000 0.0000 (multiplicity 3)
Tl 0.0000 0.0000 0.1991 (multiplicity 3)
Ni 0.0000 0.0000 0.7612 (multiplicity 3)
Pt 0.0000 0.0000 0.4357 (multiplicity 3)

***

Record 4
First-principles (GGA-PBE) data for an optimized crystal structure of TlNiPt2, as listed in Alexandria via LeMat-Bulk.

Values from the calculation:
The calculation puts the formation energy from the elements at 102 meV/atom. Its volume is 65.40 Å³/cell.

Lattice parameters (Å, degrees): 4.682 3.051 4.758 90.00 105.83 90.00
Space group P2/m (No. 10)
Symmetry-distinct sites (fractional):
Tl 0.000 0.000 0.000 (multiplicity 1)
Ni 0.500 0.500 0.000 (multiplicity 1)
Pt 0.000 0.500 0.500 (multiplicity 1)
Pt 0.500 0.000 0.500 (multiplicity 1)

***

Record 5
First-principles (GGA-PBE) data for an optimized crystal structure of Tl2Ni2Pt, as listed in Alexandria via LeMat-Bulk.

Values from the calculation:
The calculation puts the formation energy from the elements at 199 meV/atom. Its volume is 172.30 Å³/cell.

Lattice parameters (Å, degrees): 6.750 6.750 3.782 90.00 90.00 90.00
Space group P4/mbm (No. 127)
Symmetry-distinct sites (fractional):
Tl 0.175 0.325 0.000 (multiplicity 4)
Ni 0.128 0.628 0.500 (multiplicity 4)
Pt 0.000 0.000 0.500 (multiplicity 2)

***

Record 6
First-principles (GGA-PBE) data for an optimized crystal structure of Tl2NiPt, as listed in Alexandria via LeMat-Bulk.

Values from the calculation:
The calculation puts the formation energy from the elements at 282 meV/atom. Its volume is 233.45 Å³/cell.

Lattice parameters (Å, degrees): 3.3427 3.3427 24.1252 90.00 90.00 120.00
Space group R-3m (No. 166, hexagonal axes)
Symmetry-distinct sites (fractional):
Tl 0.0000 0.0000 0.2452 (multiplicity 6)
Ni 0.0000 0.0000 0.5000 (multiplicity 3)
Pt 0.0000 0.0000 0.0000 (multiplicity 3)

***

Record 7
First-principles (GGA-PBE) data for an optimized crystal structure of TlNi4Pt2, as listed in Alexandria via LeMat-Bulk.

Values from the calculation:
The calculation puts the formation energy from the elements at 1082 meV/atom. Its volume is 269.62 Å³/cell.

Lattice parameters (Å, degrees): 4.651 4.651 12.467 90.00 90.00 90.00
Space group I4/mmm (No. 139)
Symmetry-distinct sites (fractional):
Tl 0.000 0.000 0.000 (multiplicity 2)
Ni 0.000 0.000 0.206 (multiplicity 4)
Ni 0.000 0.500 0.000 (multiplicity 4)
Pt 0.000 0.000 0.395 (multiplicity 4)

***

Record 8
First-principles (GGA-PBE) data for an optimized crystal structure of Tl2NiPt, as listed in Alexandria via LeMat-Bulk.

Values from the calculation:
The calculation puts the formation energy from the elements at 243 meV/atom. Its volume is 151.49 Å³/cell.

Lattice parameters (Å, degrees): 3.976 3.976 9.585 90.00 90.00 90.00
Space group I-4m2 (No. 119)
Symmetry-distinct sites (fractional):
Tl 0.000 0.000 0.000 (multiplicity 2)
Tl 0.000 0.500 0.250 (multiplicity 2)
Ni 0.000 0.500 0.750 (multiplicity 2)
Pt 0.000 0.000 0.500 (multiplicity 2)

***

Respective final energy values: -15.56, -39.31, -48.23, -19.82, -42.68, -46.28, -60.00, -31.16 eV per cell.